Run one
Here is a geometry-optimized ZnCdP structure from Alexandria via LeMat-Bulk. Energies are from PBE-GGA.

```
data_ZnCdP
_cell_length_a 3.9905
_cell_length_b 3.9905
_cell_length_c 4.3006
_cell_angle_alpha 90.00
_cell_angle_beta 90.00
_cell_angle_gamma 120.00
_symmetry_space_group_name_H-M 'P 3 m 1'
_symmetry_Int_Tables_number 156
_symmetry_space_group_name_Hall 'P 3 -2"'
loop_
_atom_site_label
_atom_site_fract_x
_atom_site_fract_y
_atom_site_fract_z
Zn1 0.0000 0.0000 0.0000
Cd1 0.6667 0.3333 0.4415
P1 0.3333 0.6667 0.8496
```

Computed properties:
mass density	5.8	g cm⁻³
D(E_F)	1.08	states/eV/f.u.

Run two
Here is a geometry-optimized ZnCdP structure from Alexandria via LeMat-Bulk. Energies are from PBE-GGA.

```
data_ZnCdP
_cell_length_a 3.499
_cell_length_b 3.499
_cell_length_c 10.966
_cell_angle_alpha 90.00
_cell_angle_beta 90.00
_cell_angle_gamma 90.00
_symmetry_space_group_name_H-M 'I 4 m m'
_symmetry_Int_Tables_number 107
_symmetry_space_group_name_Hall 'I 4 -2'
loop_
_atom_site_label
_atom_site_fract_x
_atom_site_fract_y
_atom_site_fract_z
Zn1 0.000 0.000 0.000
Cd1 0.000 0.000 0.246
P1 0.000 0.000 0.484
```

Computed properties:
mass density	5.2	g cm⁻³
D(E_F)	1.13	states/eV/f.u.

Least stable = run two

Run one
Here is a geometry-optimized ZnCdP structure from Alexandria via LeMat-Bulk. Energies are from PBE-GGA.

```
data_ZnCdP
_cell_length_a 3.067
_cell_length_b 3.067
_cell_length_c 11.711
_cell_angle_alpha 90.00
_cell_angle_beta 90.00
_cell_angle_gamma 90.00
_symmetry_space_group_name_H-M 'I 4 m m'
_symmetry_Int_Tables_number 107
_symmetry_space_group_name_Hall 'I 4 -2'
loop_
_atom_site_label
_atom_site_fract_x
_atom_site_fract_y
_atom_site_fract_z
Zn1 0.000 0.000 0.000
Cd1 0.000 0.000 0.316
P1 0.000 0.000 0.628
```

Computed properties:
mass density	6.3	g cm⁻³
D(E_F)	1.77	states/eV/f.u.

Run two
Here is a geometry-optimized ZnCdP structure from Alexandria via LeMat-Bulk. Energies are from PBE-GGA.

```
data_ZnCdP
_cell_length_a 3.899
_cell_length_b 4.893
_cell_length_c 11.714
_cell_angle_alpha 90.00
_cell_angle_beta 90.00
_cell_angle_gamma 90.00
_symmetry_space_group_name_H-M 'F m m 2'
_symmetry_Int_Tables_number 42
_symmetry_space_group_name_Hall 'F 2 -2'
loop_
_atom_site_label
_atom_site_fract_x
_atom_site_fract_y
_atom_site_fract_z
Zn1 0.000 0.000 0.000
Cd1 0.000 0.000 0.687
P1 0.000 0.000 0.373
```

Computed properties:
mass density	6.2	g cm⁻³
D(E_F)	0.82	states/eV/f.u.

Least stable = run one